Computed, not measured: crystalline U2Si3Ru at its relaxed geometry at the GGA-PBE level of DFT.

distance to the lowest polymorph of the same formula: 20.4 meV/atom
ΔE_f (raw): -430 meV/atom
density: 10.0 g/cm³
density of states at the Fermi level: 22.5 states/eV per cell
total magnetization: 0.5814 μB per atom

The structure in CIF format:
```
data_U2Si3Ru
_cell_length_a 5.6034
_cell_length_b 5.6034
_cell_length_c 7.9721
_cell_angle_alpha 108.69
_cell_angle_beta 108.69
_cell_angle_gamma 95.05
_space_group_name_H-M_alt 'P 1'
_space_group_IT_number 1
loop_
_space_group_symop_operation_xyz
'x,y,z'
loop_
_atom_site_label
_atom_site_type_symbol
_atom_site_fract_x
_atom_site_fract_y
_atom_site_fract_z
Si1 Si 0.8393 0.3258 0.1652
Si2 Si 0.6742 0.1607 0.8348
Si3 Si 0.1653 0.1653 0.3305
Si4 Si 0.1607 0.6742 0.8348
Si5 Si 0.3258 0.8393 0.1652
Si6 Si 0.8347 0.8347 0.6695
U1 U 0.7500 0.2500 0.5000
U2 U 0.2586 0.2586 0.0000
U3 U 0.2500 0.7500 0.5000
U4 U 0.7414 0.7414 0.0000
Ru1 Ru 0.6632 0.6632 0.3265
Ru2 Ru 0.3368 0.3368 0.6735
```